! Zn2CrF8 GGA+U optimized geometry; values from VASP
! * raw total energy: -4.482 eV per atom
! * DOS at the Fermi energy: 7.33 states/eV per cell
&SYSTEM
  ibrav = 0, nat = 11, ntyp = 3
/
ATOMIC_SPECIES
Zn 65.41 Zn.upf
F 19.00 F.upf
Cr 52.00 Cr.upf
CELL_PARAMETERS angstrom
2.936 -0.378 -0.723
-0.821 5.515 -0.307
-0.693 -0.100 9.954
ATOMIC_POSITIONS crystal
Zn 0.922 0.545 0.652
Zn 0.078 0.455 0.348
F 0.611 0.301 0.453
F 0.555 0.597 0.259
F 0.931 0.787 0.030
F 0.250 0.871 0.811
F 0.750 0.129 0.189
F 0.389 0.699 0.547
F 0.069 0.213 0.970
F 0.445 0.403 0.741
Cr 0.500 0.000 0.000